Compound: Pr3Al4Pt2
Source: Alexandria
Functional: PBE-GGA
Structure: relaxed

Structure (POSCAR):
```
Pr3Al4Pt2
1.0
5.6294 -2.2397 0.0000
5.6294 2.2397 0.0000
-2.4221 0.0000 8.1866
Pr Al Pt
3 4 2
Cartesian
0.0000 0.0000 0.0000 Pr
3.6360 0.0000 2.4877 Pr
5.2007 0.0000 5.6989 Pr
0.2357 0.0000 3.4211 Al
0.8666 0.0000 7.5465 Al
7.9700 0.0000 0.6402 Al
8.6010 0.0000 4.7655 Al
1.9996 0.0000 5.3122 Pt
6.8370 0.0000 2.8745 Pt
```

- energy relative to the elements (eV per atom) = -0.773
- V (Å³/f.u.) = 206
- DOS at the Fermi energy (states/eV/atom) = 0.7720
- crystal system = monoclinic
- total moment (μB/f.u.) = 0.00

Compound: PrAlPt2
Source: Alexandria
Functional: PBE-GGA
Structure: relaxed

Structure (POSCAR):
```
PrAlPt2
1.0
7.3387 0.0000 0.0000
0.0000 4.2894 0.0000
0.0000 0.0000 10.5381
Pr Al Pt
4 4 8
Cartesian
1.1495 1.0723 1.4709 Pr
2.5199 3.2170 6.7400 Pr
4.8188 1.0723 3.7981 Pr
6.1892 3.2170 9.0672 Pr
0.2244 3.2170 4.1907 Al
3.4449 1.0723 9.4598 Al
3.8938 3.2170 1.0783 Al
7.1143 1.0723 6.3474 Al
0.9819 1.0723 8.5209 Pt
1.5779 1.0723 4.6174 Pt
2.0914 3.2170 9.8865 Pt
2.6874 3.2170 3.2519 Pt
4.6513 1.0723 7.2862 Pt
5.2473 1.0723 0.6516 Pt
5.7607 3.2170 5.9207 Pt
6.3567 3.2170 2.0172 Pt
```

- energy relative to the elements (eV per atom) = -1.102
- V (Å³/f.u.) = 83
- DOS at the Fermi energy (states/eV/atom) = 0.7002
- crystal system = orthorhombic
- total moment (μB/f.u.) = 0.00

Compound: PrAl4Pt8
Source: Alexandria
Functional: PBE-GGA
Structure: relaxed

Structure (POSCAR):
```
PrAl4Pt8
1.0
-4.4235 4.4235 2.7182
4.4235 -4.4235 2.7182
4.4235 4.4235 -2.7182
Pr Al Pt
1 4 8
Cartesian
0.0000 0.0000 0.0000 Pr
2.2118 2.2118 -1.3591 Al
2.2118 -2.2118 1.3591 Al
-2.2118 2.2118 1.3591 Al
2.2118 2.2118 1.3591 Al
2.9731 0.0000 0.0000 Pt
5.8740 0.0000 0.0000 Pt
4.4235 2.4193 0.0000 Pt
0.0000 2.9731 0.0000 Pt
2.4193 4.4235 0.0000 Pt
2.0042 0.0000 2.7182 Pt
0.0000 5.8740 0.0000 Pt
0.0000 2.0042 2.7182 Pt
```

- energy relative to the elements (eV per atom) = -0.911
- V (Å³/f.u.) = 213
- DOS at the Fermi energy (states/eV/atom) = 0.5094
- crystal system = tetragonal
- total moment (μB/f.u.) = 0.00

Compound: Pr2Al3Pt
Source: Alexandria
Functional: PBE-GGA
Structure: relaxed

Structure (POSCAR):
```
Pr2Al3Pt
1.0
2.8416 1.6406 4.4913
-2.8416 1.6406 4.4913
0.0000 -3.2812 4.4913
Pr Al Pt
2 3 1
Cartesian
0.0000 0.0000 1.6809 Pr
0.0000 0.0000 11.7931 Pr
-1.4208 -0.8203 4.4913 Al
-1.4208 0.8203 8.9827 Al
0.0000 1.6406 4.4913 Al
0.0000 0.0000 6.7370 Pt
```

- energy relative to the elements (eV per atom) = -0.724
- V (Å³/f.u.) = 126
- DOS at the Fermi energy (states/eV/atom) = 0.4513
- crystal system = trigonal
- total moment (μB/f.u.) = 0.00

Compound: PrAl4Pt12
Source: Alexandria
Functional: PBE-GGA
Structure: relaxed

Structure (POSCAR):
```
PrAl4Pt12
1.0
-4.2758 4.2758 4.2758
4.2758 -4.2758 4.2758
4.2758 4.2758 -4.2758
Pr Al Pt
1 4 12
Cartesian
0.0000 0.0000 0.0000 Pr
2.1379 2.1379 -2.1379 Al
2.1379 -2.1379 2.1379 Al
-2.1379 2.1379 2.1379 Al
2.1379 2.1379 2.1379 Al
2.9522 1.3135 0.0000 Pt
5.5993 1.3135 0.0000 Pt
4.2758 -1.3236 2.9622 Pt
2.9622 4.2758 -1.3236 Pt
1.3135 0.0000 2.9522 Pt
0.0000 2.9522 1.3135 Pt
4.2758 1.3236 2.9622 Pt
2.9622 4.2758 1.3236 Pt
1.3135 0.0000 5.5993 Pt
0.0000 5.5993 1.3135 Pt
-1.3236 2.9622 4.2758 Pt
1.3236 2.9622 4.2758 Pt
```

- energy relative to the elements (eV per atom) = -0.329
- V (Å³/f.u.) = 313
- DOS at the Fermi energy (states/eV/atom) = 0.5637
- crystal system = cubic
- total moment (μB/f.u.) = 0.00

Compound: Pr3Al4Pt4
Source: Alexandria
Functional: PBE-GGA
Structure: relaxed

Structure (POSCAR):
```
Pr3Al4Pt4
1.0
-3.9018 3.9018 3.9018
3.9018 -3.9018 3.9018
3.9018 3.9018 -3.9018
Pr Al Pt
3 4 4
Cartesian
3.9018 0.0000 0.0000 Pr
0.0000 3.9018 0.0000 Pr
0.0000 0.0000 3.9018 Pr
1.0256 1.0256 -1.0256 Al
1.0256 -1.0256 1.0256 Al
-1.0256 1.0256 1.0256 Al
2.8762 2.8762 2.8762 Al
2.4425 2.4425 -2.4425 Pt
2.4425 -2.4425 2.4425 Pt
1.4593 1.4593 1.4593 Pt
-2.4425 2.4425 2.4425 Pt
```

- energy relative to the elements (eV per atom) = -0.967
- V (Å³/f.u.) = 238
- DOS at the Fermi energy (states/eV/atom) = 1.1492
- crystal system = cubic
- total moment (μB/f.u.) = 0.00

Compound: Pr3Al3Pt8
Source: Alexandria
Functional: PBE-GGA
Structure: relaxed

Structure (POSCAR):
```
Pr3Al3Pt8
1.0
-2.1610 4.9201 6.4566
2.1610 -4.9201 6.4566
2.1610 4.9201 -6.4566
Pr Al Pt
3 3 8
Cartesian
0.0000 0.0000 0.0000 Pr
0.0000 0.0000 3.7973 Pr
0.0000 0.0000 9.1158 Pr
2.1610 2.7096 0.0000 Al
0.0000 4.9201 0.0000 Al
0.0000 2.2105 6.4566 Al
2.1610 -1.3627 2.1370 Pt
2.1610 -1.9541 4.9845 Pt
2.1610 1.3627 2.1370 Pt
0.0000 2.9660 1.4721 Pt
2.1610 1.9541 4.9845 Pt
0.0000 3.5573 4.3196 Pt
0.0000 6.8742 1.4721 Pt
0.0000 6.2828 4.3196 Pt
```

- energy relative to the elements (eV per atom) = -0.961
- V (Å³/f.u.) = 275
- DOS at the Fermi energy (states/eV/atom) = 0.5945
- crystal system = orthorhombic
- total moment (μB/f.u.) = 0.00

Compound: PrAl4Pt4
Source: Alexandria
Functional: PBE-GGA
Structure: relaxed

Structure (POSCAR):
```
PrAl4Pt4
1.0
6.2545 0.0000 0.0000
0.0000 6.2545 0.0000
0.0000 0.0000 8.4292
Pr Al Pt
2 8 8
Cartesian
1.5636 4.6909 2.1073 Pr
4.6909 1.5636 6.3219 Pr
0.0809 1.5636 1.1920 Al
1.5636 0.0809 5.4066 Al
1.5636 3.0463 5.4066 Al
3.0463 1.5636 1.1920 Al
3.2082 4.6909 7.2372 Al
4.6909 3.2082 3.0226 Al
4.6909 6.1736 3.0226 Al
6.1736 4.6909 7.2372 Al
0.2021 1.5636 3.7314 Pt
1.5636 0.2021 7.9460 Pt
1.5636 2.9252 7.9460 Pt
2.9252 1.5636 3.7314 Pt
3.3293 4.6909 4.6978 Pt
4.6909 3.3293 0.4832 Pt
4.6909 6.0524 0.4832 Pt
6.0524 4.6909 4.6978 Pt
```

- energy relative to the elements (eV per atom) = -0.958
- V (Å³/f.u.) = 165
- DOS at the Fermi energy (states/eV/atom) = 0.4228
- crystal system = tetragonal
- total moment (μB/f.u.) = 0.00

Compound: Pr2Al5Pt4
Source: Alexandria
Functional: PBE-GGA
Structure: relaxed

Structure (POSCAR):
```
Pr2Al5Pt4
1.0
0.0000 4.8144 7.9363
2.7848 0.0000 7.9363
2.7848 4.8144 0.0000
Pr Al Pt
2 5 4
Cartesian
2.7848 4.8144 2.0911 Pr
2.7848 4.8144 13.7816 Pr
1.3924 2.4072 0.0000 Al
1.3924 2.4072 3.9682 Al
1.3924 2.4072 7.9363 Al
2.7848 4.8144 7.9363 Al
4.1772 7.2216 11.9045 Al
2.7848 3.3091 5.8520 Pt
2.7848 3.3091 10.0206 Pt
2.7848 6.3198 5.8520 Pt
2.7848 6.3198 10.0206 Pt
```

- energy relative to the elements (eV per atom) = -1.007
- V (Å³/f.u.) = 213
- DOS at the Fermi energy (states/eV/atom) = 0.2494
- crystal system = orthorhombic
- total moment (μB/f.u.) = 0.00

Compound: PrAl2Pt6
Source: Alexandria
Functional: PBE-GGA
Structure: relaxed

Structure (POSCAR):
```
PrAl2Pt6
1.0
0.0000 5.6720 5.6720
5.6720 0.0000 5.6720
5.6720 5.6720 0.0000
Pr Al Pt
2 4 12
Cartesian
1.4180 1.4180 1.4180 Pr
9.9259 9.9259 9.9259 Pr
5.6720 2.8360 2.8360 Al
2.8360 5.6720 2.8360 Al
2.8360 2.8360 5.6720 Al
5.6720 5.6720 5.6720 Al
4.2540 4.2540 1.4421 Pt
4.2540 1.4421 4.2540 Pt
7.0659 4.2540 4.2540 Pt
7.0900 7.0900 4.2781 Pt
7.0900 4.2781 7.0900 Pt
9.9019 7.0900 7.0900 Pt
1.4421 4.2540 4.2540 Pt
4.2540 7.0659 4.2540 Pt
4.2540 4.2540 7.0659 Pt
4.2781 7.0900 7.0900 Pt
7.0900 9.9019 7.0900 Pt
7.0900 7.0900 9.9019 Pt
```

- energy relative to the elements (eV per atom) = -0.562
- V (Å³/f.u.) = 182
- DOS at the Fermi energy (states/eV/atom) = 0.2091
- crystal system = cubic
- total moment (μB/f.u.) = 0.00

Compound: PrAl2Pt
Source: Alexandria
Functional: PBE-GGA
Structure: relaxed

Structure (POSCAR):
```
PrAl2Pt
1.0
2.1321 1.2310 5.4091
-2.1321 1.2310 5.4091
0.0000 -2.4620 5.4091
Pr Al Pt
1 2 1
Cartesian
0.0000 0.0000 0.0000 Pr
0.0000 0.0000 3.3778 Al
0.0000 0.0000 12.8494 Al
0.0000 0.0000 8.1136 Pt
```

- energy relative to the elements (eV per atom) = -0.870
- V (Å³/f.u.) = 85
- DOS at the Fermi energy (states/eV/atom) = 0.5911
- crystal system = trigonal
- total moment (μB/f.u.) = 0.00

Compound: PrAl12Pt4
Source: Alexandria
Functional: PBE-GGA
Structure: relaxed

Structure (POSCAR):
```
PrAl12Pt4
1.0
-4.4049 4.4049 4.4049
4.4049 -4.4049 4.4049
4.4049 4.4049 -4.4049
Pr Al Pt
1 12 4
Cartesian
0.0000 0.0000 0.0000 Pr
3.0250 0.0000 1.4265 Al
5.7848 0.0000 1.4265 Al
4.4049 2.9784 -1.3799 Al
1.4265 3.0250 0.0000 Al
2.9784 -1.3799 4.4049 Al
4.4049 2.9784 1.3799 Al
0.0000 1.4265 3.0250 Al
1.4265 5.7848 0.0000 Al
2.9784 1.3799 4.4049 Al
0.0000 1.4265 5.7848 Al
-1.3799 4.4049 2.9784 Al
1.3799 4.4049 2.9784 Al
2.2024 2.2024 -2.2024 Pt
2.2024 -2.2024 2.2024 Pt
-2.2024 2.2024 2.2024 Pt
2.2024 2.2024 2.2024 Pt
```

- energy relative to the elements (eV per atom) = -0.382
- V (Å³/f.u.) = 342
- DOS at the Fermi energy (states/eV/atom) = 0.7203
- crystal system = cubic
- total moment (μB/f.u.) = 0.00

Among the records above, which one has the highest energy relative to the elements? PrAl4Pt12